# 1
VASP calculation (PBE) on a geometry-optimized Ca2LaRu structure.

Cell lengths 10.3907, 10.3907, 7.7998 Å; angles 48.23, 48.23, 90.00 degrees
With the nearest neighbours (Å) after each atom.
Fractional coordinates of all 8 atoms:
La 0.0000 0.0000 0.0000  2 Ru 2.62
La 0.7500 0.2500 0.5000  2 Ru 2.62
Ca 0.3750 0.5060 0.7500  2 Ru 2.95
Ca 0.2560 0.6250 0.2500  2 Ru 2.95
Ca 0.4940 0.1250 0.2500  2 Ru 2.95
Ca 0.8750 0.7440 0.7500  2 Ru 2.95
Ru 0.2500 0.7500 0.5000  2 La 2.62
Ru 0.5000 0.5000 0.0000  2 La 2.62

Results
**Calculated volume**: 282.65 Å³/cell
**Energy relative to the lowest polymorph listed for this composition**: 0.338 eV/atom
**Crystal system**: tetragonal



# 2
VASP calculation (PBE) on a geometry-optimized LiPu3Sc2S6 structure.

Cell lengths 6.6656, 6.6656, 6.6057 Å; angles 99.67, 99.67, 119.99 degrees
With the nearest neighbours (Å) after each atom.
Fractional coordinates of all 12 atoms:
S 0.4127 0.0774 0.2322  2 Sc 2.64, 1 Li 2.66, 3 Pu 2.78
S 0.5873 0.9226 0.7678  2 Sc 2.64, 1 Li 2.66, 3 Pu 2.78
S 0.0774 0.4127 0.2322  2 Sc 2.64, 1 Li 2.66, 3 Pu 2.78
S 0.2581 0.2581 0.7693  2 Sc 2.64, 1 Li 2.65, 3 Pu 2.77-2.78
S 0.7419 0.7419 0.2307  2 Sc 2.64, 1 Li 2.65, 3 Pu 2.77-2.78
S 0.9226 0.5873 0.7678  2 Sc 2.64, 1 Li 2.66, 3 Pu 2.78
Pu 0.8343 0.1657 0.5000  6 S 2.78
Pu 0.5000 0.5000 0.5000  6 S 2.77-2.78
Pu 0.1657 0.8343 0.5000  6 S 2.78
Li 0.0000 0.0000 0.0000  6 S 2.65-2.66
Sc 0.6668 0.3332 0.0000  6 S 2.64
Sc 0.3332 0.6668 0.0000  6 S 2.64

Results
**Energy relative to the elements, uncorrected**: -1.756 eV/atom
**Calculated volume**: 239.42 Å³/cell
**Crystal system**: monoclinic



# 3
VASP calculation (PBE) on a geometry-optimized Os2RuRh structure.

Cell lengths 4.3538, 4.3538, 4.3538 Å; angles 60.00, 60.00, 60.00 degrees
With the nearest neighbours (Å) after each atom.
Fractional coordinates of all 4 atoms:
Rh 0.5000 0.5000 0.5000  4 Os 2.67, 4 Ru 2.67
Os 0.0000 0.0000 0.0000  4 Ru 2.67, 4 Os 2.67
Os 0.2500 0.2500 0.2500  4 Os 2.67, 4 Rh 2.67
Ru 0.7500 0.7500 0.7500  4 Os 2.67, 4 Rh 2.67

Results
**Calculated volume**: 58.36 Å³/cell
**Energy relative to the lowest polymorph listed for this composition**: 0.540 eV/atom
**Crystal system**: cubic



# 4
VASP calculation (PBE) on a geometry-optimized CsTa2Ti2 structure.

Cell lengths 3.7687, 3.7687, 9.8155 Å; angles 78.93, 78.93, 90.00 degrees
With the nearest neighbours (Å) after each atom.
Fractional coordinates of all 5 atoms:
Cs 0.0000 0.0000 0.0000  4 Cs 3.77, 8 Ta 3.85
Ti 0.7500 0.2500 0.5000  4 Ti 2.66, 4 Ta 2.71
Ti 0.2500 0.7500 0.5000  4 Ti 2.66, 4 Ta 2.71
Ta 0.6470 0.6470 0.7061  4 Ti 2.71
Ta 0.3530 0.3530 0.2939  4 Ti 2.71

Results
**Calculated volume**: 134.17 Å³/cell
**Energy relative to the lowest polymorph listed for this composition**: 0.380 eV/atom
**Crystal system**: tetragonal